1.
Entry from the Alexandria database: an optimized crystal structure of ZnCdGa (GGA-PBE).

The space group is P1 (No. 1) and the conventional cell measures 3.0453, 4.9065 and 8.1513 Å, with angles of 79.50, 88.05 and 73.06 degrees. The inequivalent atoms are Zn at (0.0000, 0.0000, 0.0000), Zn at (0.4622, 0.0605, 0.2855), Cd at (0.1940, 0.5666, 0.4602), Cd at (0.4904, 0.9832, 0.6625), Ga at (0.2622, 0.4715, 0.8419) and Ga at (0.7332, 0.5232, 0.1350).

The calculated density comes out at 7.2 g cm⁻³. Its volume is 115 Å³/cell. As for the formation energy from the elements: 0.06 eV/atom. For the total magnetization, the calculation gives 0.0 μB/cell.



2.
Entry from the Alexandria database: an optimized crystal structure of Ba2FeBiIr (GGA-PBE).

The space group is P4/mmm (No. 123) and the conventional cell measures 6.6621, 6.6621 and 4.9984 Å, with angles of 90.00, 90.00 and 90.00 degrees. The inequivalent atoms are Ba at (0.0000, 0.5000, 0.0000), Fe at (0.0000, 0.0000, 0.5000), Bi at (0.5000, 0.5000, 0.0000) and Ir at (0.5000, 0.5000, 0.5000).

The calculated density comes out at 5.5 g cm⁻³. Its volume is 222 Å³/cell. As for the formation energy from the elements: 0.83 eV/atom. For the total magnetization, the calculation gives 3.4 μB/cell.